Record 1
A plane-wave DFT calculation with PBE was carried out for a relaxed Ba7Bi2Pb2 crystal.

Results
DFT total energy: -34.546 eV/cell
Magnetization: 0.000 μB/atom
Calculated volume: 54.9 A^3/atom

Lattice parameters (Å, degrees): 8.477 8.477 8.461 90.00 90.00 96.44
Element x y z (fractional)
Ba: 0.000 0.000 0.000
Ba: 0.000 0.500 0.261
Ba: 0.000 0.500 0.739
Ba: 0.500 0.000 0.261
Ba: 0.500 0.000 0.739
Ba: 0.500 0.500 0.249
Ba: 0.500 0.500 0.751
Bi: 0.241 0.241 0.500
Bi: 0.759 0.759 0.500
Pb: 0.273 0.727 0.000
Pb: 0.727 0.273 0.000


Record 2
A plane-wave DFT calculation with PBE was carried out for a relaxed BaBi4Pb6 crystal.

Results
DFT total energy: -41.129 eV/cell
Magnetization: 0.000 μB/atom
Calculated volume: 36.2 A^3/atom

Lattice parameters (Å, degrees): 9.858 9.858 4.727 90.00 90.00 120.00
Element x y z (fractional)
Ba: 0.000 0.000 0.000
Bi: 0.333 0.667 0.000
Bi: 0.353 0.177 0.500
Bi: 0.823 0.177 0.500
Bi: 0.823 0.647 0.500
Pb: 0.196 0.392 0.500
Pb: 0.196 0.804 0.500
Pb: 0.545 0.090 0.000
Pb: 0.545 0.455 0.000
Pb: 0.608 0.804 0.500
Pb: 0.910 0.455 0.000


Record 3
A plane-wave DFT calculation with PBE was carried out for a relaxed Ba2BiPb crystal.

Results
Magnetization: 0.000 μB/atom
Calculated volume: 40.6 A^3/atom
Energy above the most stable polymorph in this dataset: 71 meV per atom

Lattice parameters (Å, degrees): 6.123 6.123 6.123 60.00 60.00 60.00
Element x y z (fractional)
Ba: 0.250 0.250 0.250
Ba: 0.750 0.750 0.750
Bi: 0.000 0.000 0.000
Pb: 0.500 0.500 0.500


Record 4
A plane-wave DFT calculation with PBE was carried out for a relaxed Ba3BiPb crystal.

Results
Magnetization: 0.000 μB/atom
Calculated volume: 47.2 A^3/atom
Energy above the most stable polymorph in this dataset: 0 meV per atom

Lattice parameters (Å, degrees): 10.659 9.285 9.805 90.00 103.18 90.00
Element x y z (fractional)
Ba: 0.069 0.010 0.205
Ba: 0.069 0.490 0.705
Ba: 0.291 0.631 0.085
Ba: 0.291 0.869 0.585
Ba: 0.365 0.206 0.963
Ba: 0.365 0.294 0.463
Ba: 0.635 0.706 0.537
Ba: 0.635 0.794 0.037
Ba: 0.709 0.131 0.415
Ba: 0.709 0.369 0.915
Ba: 0.931 0.510 0.295
Ba: 0.931 0.990 0.795
Bi: 0.412 0.549 0.762
Bi: 0.412 0.951 0.262
Bi: 0.588 0.049 0.738
Bi: 0.588 0.451 0.238
Pb: 0.063 0.160 0.540
Pb: 0.063 0.340 0.040
Pb: 0.937 0.660 0.960
Pb: 0.937 0.840 0.460


Record 5
A plane-wave DFT calculation with PBE was carried out for a relaxed BaBiPb3 crystal.

Results
Magnetization: 0.000 μB/atom
Calculated volume: 44.7 A^3/atom
Energy above the most stable polymorph in this dataset: 441 meV per atom

Lattice parameters (Å, degrees): 6.069 6.069 6.069 90.00 90.00 90.00
Element x y z (fractional)
Ba: 0.000 0.000 0.000
Bi: 0.500 0.500 0.500
Pb: 0.000 0.500 0.500
Pb: 0.500 0.000 0.500
Pb: 0.500 0.500 0.000


Record 6
A plane-wave DFT calculation with PBE was carried out for a relaxed BaBi2Pb2 crystal.

Results
DFT total energy: -36.398 eV/cell
Magnetization: 0.000 μB/atom
Calculated volume: 42.2 A^3/atom

Lattice parameters (Å, degrees): 8.715 8.715 7.894 116.41 116.41 100.77
Element x y z (fractional)
Ba: 0.118 0.882 0.750
Ba: 0.882 0.118 0.250
Bi: 0.156 0.844 0.250
Bi: 0.385 0.615 0.750
Bi: 0.615 0.385 0.250
Bi: 0.844 0.156 0.750
Pb: 0.252 0.463 0.978
Pb: 0.463 0.252 0.478
Pb: 0.537 0.748 0.522
Pb: 0.748 0.537 0.022


Record 7
A plane-wave DFT calculation with PBE was carried out for a relaxed Ba2Bi5Pb4 crystal.

Results
DFT total energy: -40.854 eV/cell
Magnetization: 0.000 μB/atom
Calculated volume: 36.2 A^3/atom

Lattice parameters (Å, degrees): 7.369 7.369 10.670 120.89 120.89 58.23
Element x y z (fractional)
Ba: 0.196 0.196 0.254
Ba: 0.804 0.804 0.746
Bi: 0.273 0.721 0.651
Bi: 0.279 0.727 0.349
Bi: 0.500 0.500 0.000
Bi: 0.721 0.273 0.651
Bi: 0.727 0.279 0.349
Pb: 0.222 0.222 0.933
Pb: 0.240 0.240 0.637
Pb: 0.760 0.760 0.363
Pb: 0.778 0.778 0.067


Record 8
A plane-wave DFT calculation with PBE was carried out for a relaxed BaBi4Pb crystal.

Results
Magnetization: 0.000 μB/atom
Calculated volume: 37.2 A^3/atom
Energy above the most stable polymorph in this dataset: 14 meV per atom

Lattice parameters (Å, degrees): 4.430 4.932 10.405 100.72 90.96 91.65
Element x y z (fractional)
Ba: 0.000 0.000 0.000
Bi: 0.041 0.902 0.342
Bi: 0.482 0.454 0.831
Bi: 0.518 0.546 0.169
Bi: 0.959 0.098 0.658
Pb: 0.500 0.500 0.500


Record 9
A plane-wave DFT calculation with PBE was carried out for a relaxed Ba4BiPb crystal.

Results
DFT total energy: -37.690 eV/cell
Magnetization: 0.106 μB/atom
Calculated volume: 49.4 A^3/atom

Lattice parameters (Å, degrees): 9.665 9.665 8.047 108.49 108.49 109.36
Element x y z (fractional)
Ba: 0.056 0.698 0.905
Ba: 0.242 0.364 0.729
Ba: 0.302 0.944 0.595
Ba: 0.364 0.242 0.229
Ba: 0.636 0.758 0.771
Ba: 0.698 0.056 0.405
Ba: 0.758 0.636 0.271
Ba: 0.944 0.302 0.095
Bi: 0.364 0.636 0.250
Bi: 0.636 0.364 0.750
Pb: 0.001 0.999 0.250
Pb: 0.999 0.001 0.750


Record 10
A plane-wave DFT calculation with PBE was carried out for a relaxed Ba2Bi3Pb2 crystal.

Results
DFT total energy: -52.753 eV/cell
Magnetization: 0.000 μB/atom
Calculated volume: 40.1 A^3/atom

Lattice parameters (Å, degrees): 9.201 9.201 14.415 123.27 123.27 34.17
Element x y z (fractional)
Ba: 0.091 0.091 0.336
Ba: 0.150 0.150 0.061
Ba: 0.850 0.850 0.939
Ba: 0.909 0.909 0.664
Bi: 0.171 0.171 0.830
Bi: 0.347 0.347 0.460
Bi: 0.478 0.478 0.877
Bi: 0.522 0.522 0.123
Bi: 0.653 0.653 0.540
Bi: 0.829 0.829 0.170
Pb: 0.252 0.252 0.683
Pb: 0.427 0.427 0.310
Pb: 0.573 0.573 0.690
Pb: 0.748 0.748 0.317


Record 11
A plane-wave DFT calculation with PBE was carried out for a relaxed BaBiPb crystal.

Results
Magnetization: 0.000 μB/atom
Calculated volume: 37.8 A^3/atom
Energy above the most stable polymorph in this dataset: 115 meV per atom

Lattice parameters (Å, degrees): 6.835 6.835 6.835 143.27 143.27 52.92
Element x y z (fractional)
Ba: 0.000 0.000 0.000
Bi: 0.305 0.305 0.000
Pb: 0.701 0.701 0.000


Record 12
A plane-wave DFT calculation with PBE was carried out for a relaxed Ba2Bi3Pb crystal.

Results
Magnetization: 0.000 μB/atom
Calculated volume: 40.2 A^3/atom
Energy above the most stable polymorph in this dataset: 0 meV per atom

Lattice parameters (Å, degrees): 8.705 5.268 21.051 90.00 90.00 90.00
Element x y z (fractional)
Ba: 0.118 0.250 0.089
Ba: 0.126 0.250 0.295
Ba: 0.374 0.750 0.795
Ba: 0.382 0.750 0.589
Ba: 0.618 0.250 0.411
Ba: 0.626 0.250 0.205
Ba: 0.874 0.750 0.705
Ba: 0.882 0.750 0.911
Bi: 0.086 0.250 0.820
Bi: 0.185 0.250 0.681
Bi: 0.239 0.250 0.483
Bi: 0.261 0.750 0.983
Bi: 0.315 0.750 0.181
Bi: 0.414 0.750 0.320
Bi: 0.586 0.250 0.680
Bi: 0.685 0.250 0.819
Bi: 0.739 0.250 0.017
Bi: 0.761 0.750 0.517
Bi: 0.815 0.750 0.319
Bi: 0.914 0.750 0.180
Pb: 0.076 0.750 0.433
Pb: 0.424 0.250 0.933
Pb: 0.576 0.750 0.067
Pb: 0.924 0.250 0.567


Record 13
A plane-wave DFT calculation with PBE was carried out for a relaxed BaBi2Pb2 crystal.

Results
DFT total energy: -36.664 eV/cell
Magnetization: 0.000 μB/atom
Calculated volume: 35.6 A^3/atom

Lattice parameters (Å, degrees): 9.194 9.194 4.214 90.00 90.00 90.00
Element x y z (fractional)
Ba: 0.000 0.000 0.000
Ba: 0.500 0.500 0.000
Bi: 0.172 0.328 0.500
Bi: 0.328 0.828 0.500
Bi: 0.672 0.172 0.500
Bi: 0.828 0.672 0.500
Pb: 0.123 0.623 0.000
Pb: 0.377 0.123 0.000
Pb: 0.623 0.877 0.000
Pb: 0.877 0.377 0.000


Record 14
A plane-wave DFT calculation with PBE was carried out for a relaxed BaBiPb3 crystal.

Results
Magnetization: 0.000 μB/atom
Calculated volume: 48.9 A^3/atom
Energy above the most stable polymorph in this dataset: 1185 meV per atom

Lattice parameters (Å, degrees): 6.255 6.255 6.255 90.00 90.00 90.00
Element x y z (fractional)
Ba: 0.000 0.000 0.000
Bi: 0.500 0.500 0.500
Pb: 0.000 0.000 0.500
Pb: 0.000 0.500 0.000
Pb: 0.500 0.000 0.000


Record 15
A plane-wave DFT calculation with PBE was carried out for a relaxed Ba2BiPb crystal.

Results
Magnetization: 0.000 μB/atom
Calculated volume: 43.1 A^3/atom
Energy above the most stable polymorph in this dataset: 253 meV per atom

Lattice parameters (Å, degrees): 7.746 7.746 7.746 103.58 103.58 122.04
Element x y z (fractional)
Ba: 0.116 0.625 0.991
Ba: 0.375 0.366 0.491
Ba: 0.634 0.125 0.009
Ba: 0.875 0.884 0.509
Bi: 0.000 0.000 0.000
Bi: 0.750 0.250 0.500
Pb: 0.250 0.750 0.500
Pb: 0.500 0.500 0.000


Record 16
A plane-wave DFT calculation with PBE was carried out for a relaxed BaBiPb3 crystal.

Results
Magnetization: 0.000 μB/atom
Calculated volume: 45.0 A^3/atom
Energy above the most stable polymorph in this dataset: 223 meV per atom

Lattice parameters (Å, degrees): 12.589 12.589 12.589 151.60 151.60 40.59
Element x y z (fractional)
Ba: 0.181 0.181 0.000
Ba: 0.819 0.819 0.000
Bi: 0.250 0.750 0.500
Bi: 0.500 0.500 0.000
Pb: 0.371 0.620 0.751
Pb: 0.380 0.131 0.751
Pb: 0.380 0.629 0.249
Pb: 0.574 0.074 0.500
Pb: 0.869 0.620 0.249
Pb: 0.926 0.426 0.500


Record 17
A plane-wave DFT calculation with PBE was carried out for a relaxed Ba2Bi2Pb3 crystal.

Results
Magnetization: 0.000 μB/atom
Calculated volume: 37.6 A^3/atom
Energy above the most stable polymorph in this dataset: 0 meV per atom

Lattice parameters (Å, degrees): 7.024 7.024 8.491 92.85 92.85 38.95
Element x y z (fractional)
Ba: 0.130 0.130 0.298
Ba: 0.870 0.870 0.702
Bi: 0.171 0.171 0.866
Bi: 0.829 0.829 0.134
Pb: 0.407 0.407 0.364
Pb: 0.500 0.500 0.000
Pb: 0.593 0.593 0.636


Record 18
A plane-wave DFT calculation with PBE was carried out for a relaxed Ba3BiPb crystal.

Results
Magnetization: 0.000 μB/atom
Calculated volume: 50.2 A^3/atom
Energy above the most stable polymorph in this dataset: 145 meV per atom

Lattice parameters (Å, degrees): 12.189 7.665 12.516 90.00 120.79 90.00
Element x y z (fractional)
Ba: 0.000 0.000 0.214
Ba: 0.000 0.000 0.786
Ba: 0.000 0.500 0.286
Ba: 0.000 0.500 0.714
Ba: 0.211 0.215 0.605
Ba: 0.211 0.285 0.105
Ba: 0.360 0.750 0.429
Ba: 0.360 0.750 0.929
Ba: 0.640 0.250 0.071
Ba: 0.640 0.250 0.571
Ba: 0.789 0.715 0.895
Ba: 0.789 0.785 0.395
Bi: 0.148 0.745 0.574
Bi: 0.148 0.755 0.074
Bi: 0.852 0.245 0.926
Bi: 0.852 0.255 0.426
Pb: 0.304 0.250 0.401
Pb: 0.304 0.250 0.901
Pb: 0.696 0.750 0.099
Pb: 0.696 0.750 0.599


Record 19
A plane-wave DFT calculation with PBE was carried out for a relaxed BaBi2Pb2 crystal.

Results
DFT total energy: -18.809 eV/cell
Magnetization: 0.000 μB/atom
Calculated volume: 37.9 A^3/atom

Lattice parameters (Å, degrees): 8.673 8.673 8.673 147.31 147.31 46.91
Element x y z (fractional)
Ba: 0.000 0.000 0.000
Bi: 0.400 0.400 0.000
Bi: 0.600 0.600 0.000
Pb: 0.250 0.750 0.500
Pb: 0.750 0.250 0.500


Record 20
A plane-wave DFT calculation with PBE was carried out for a relaxed Ba2Bi5Pb3 crystal.

Results
DFT total energy: -74.901 eV/cell
Magnetization: 0.000 μB/atom
Calculated volume: 38.9 A^3/atom

Lattice parameters (Å, degrees): 10.309 10.309 10.309 116.15 91.06 122.74
Element x y z (fractional)
Ba: 0.129 0.249 0.377
Ba: 0.371 0.749 0.120
Ba: 0.629 0.251 0.880
Ba: 0.871 0.751 0.623
Bi: 0.001 0.250 0.751
Bi: 0.124 0.889 0.013
Bi: 0.250 0.750 0.500
Bi: 0.376 0.389 0.766
Bi: 0.499 0.250 0.249
Bi: 0.501 0.750 0.751
Bi: 0.624 0.611 0.234
Bi: 0.750 0.250 0.500
Bi: 0.876 0.111 0.987
Bi: 0.999 0.750 0.249
Pb: 0.124 0.605 0.729
Pb: 0.250 0.250 0.000
Pb: 0.376 0.105 0.481
Pb: 0.624 0.895 0.519
Pb: 0.750 0.750 0.000
Pb: 0.876 0.395 0.271